# Sc3AsRh (GGA-PBEsol, relaxed)
data_Sc3AsRh
_chemical_formula_sum 'Sc3 As1 Rh1'
_cell_length_a 4.876
_cell_length_b 4.876
_cell_length_c 4.876
_cell_angle_alpha 90.00
_cell_angle_beta 90.00
_cell_angle_gamma 90.00
_symmetry_space_group_name_H-M 'P 1'
_symmetry_Int_Tables_number 1
_symmetry_space_group_name_Hall 'P 1'
loop_
_atom_site_label
_atom_site_fract_x
_atom_site_fract_y
_atom_site_fract_z
Sc1 0.000 0.000 0.500
Sc2 0.000 0.500 0.000
Sc3 0.500 0.000 0.000
As1 0.500 0.500 0.500
Rh1 0.000 0.000 0.000
# SG = No. 221
# Formation energy from the elements = -0.2976 eV per atom
# Magnetization = 0.00 Bohr magnetons per cell
# Volume = 115.9 Å³/cell

# ScAs2Rh (GGA-PBEsol, relaxed)
data_ScAs2Rh
_chemical_formula_sum 'Sc1 As2 Rh1'
_cell_length_a 3.867
_cell_length_b 3.597
_cell_length_c 5.236
_cell_angle_alpha 90.00
_cell_angle_beta 111.05
_cell_angle_gamma 90.00
_symmetry_space_group_name_H-M 'P 1'
_symmetry_Int_Tables_number 1
_symmetry_space_group_name_Hall 'P 1'
loop_
_atom_site_label
_atom_site_fract_x
_atom_site_fract_y
_atom_site_fract_z
Sc1 0.000 0.000 0.000
As1 0.500 0.000 0.500
As2 0.500 0.500 0.000
Rh1 0.000 0.500 0.500
# SG = No. 10
# Formation energy from the elements = -0.6173 eV per atom
# Magnetization = 0.00 Bohr magnetons per cell
# Volume = 68.0 Å³/cell

# TaAsRhSe2 (GGA-PBEsol, relaxed)
data_TaAsRhSe2
_chemical_formula_sum 'Ta1 As1 Rh1 Se2'
_cell_length_a 4.860
_cell_length_b 4.860
_cell_length_c 4.938
_cell_angle_alpha 90.00
_cell_angle_beta 90.00
_cell_angle_gamma 90.00
_symmetry_space_group_name_H-M 'P 1'
_symmetry_Int_Tables_number 1
_symmetry_space_group_name_Hall 'P 1'
loop_
_atom_site_label
_atom_site_fract_x
_atom_site_fract_y
_atom_site_fract_z
Ta1 0.000 0.000 0.000
As1 0.000 0.000 0.500
Rh1 0.500 0.500 0.500
Se1 0.000 0.500 0.000
Se2 0.500 0.000 0.000
# ΔE_f (raw) = 3.576 eV per formula unit
# SG = No. 123
# Magnetization = 0.80 Bohr magnetons per cell
# Volume = 116.6 Å³/cell

# TlAsRhSe2 (GGA-PBEsol, relaxed)
data_TlAsRhSe2
_chemical_formula_sum 'Tl1 As1 Rh1 Se2'
_cell_length_a 5.188
_cell_length_b 5.188
_cell_length_c 5.135
_cell_angle_alpha 90.00
_cell_angle_beta 90.00
_cell_angle_gamma 90.00
_symmetry_space_group_name_H-M 'P 1'
_symmetry_Int_Tables_number 1
_symmetry_space_group_name_Hall 'P 1'
loop_
_atom_site_label
_atom_site_fract_x
_atom_site_fract_y
_atom_site_fract_z
Tl1 0.000 0.000 0.000
As1 0.000 0.000 0.500
Rh1 0.500 0.500 0.500
Se1 0.000 0.500 0.000
Se2 0.500 0.000 0.000
# ΔE_f (raw) = 7.612 eV per formula unit
# SG = No. 123
# Magnetization = 1.40 Bohr magnetons per cell
# Volume = 138.2 Å³/cell

# SiAs4Rh (GGA-PBEsol, relaxed)
data_SiAs4Rh
_chemical_formula_sum 'Si1 As4 Rh1'
_cell_length_a 5.345
_cell_length_b 5.345
_cell_length_c 5.345
_cell_angle_alpha 60.00
_cell_angle_beta 60.00
_cell_angle_gamma 60.00
_symmetry_space_group_name_H-M 'P 1'
_symmetry_Int_Tables_number 1
_symmetry_space_group_name_Hall 'P 1'
loop_
_atom_site_label
_atom_site_fract_x
_atom_site_fract_y
_atom_site_fract_z
Si1 0.000 0.000 0.000
As1 0.374 0.374 0.374
As2 0.374 0.374 0.877
As3 0.374 0.877 0.374
As4 0.877 0.374 0.374
Rh1 0.750 0.750 0.750
# ΔE_f (raw) = 4.370 eV per formula unit
# SG = No. 216
# Magnetization = 0.00 Bohr magnetons per cell
# Volume = 108.0 Å³/cell

# SiAs2Rh (GGA-PBEsol, relaxed)
data_SiAs2Rh
_chemical_formula_sum 'Si1 As2 Rh1'
_cell_length_a 3.824
_cell_length_b 3.824
_cell_length_c 4.353
_cell_angle_alpha 90.00
_cell_angle_beta 90.00
_cell_angle_gamma 90.00
_symmetry_space_group_name_H-M 'P 1'
_symmetry_Int_Tables_number 1
_symmetry_space_group_name_Hall 'P 1'
loop_
_atom_site_label
_atom_site_fract_x
_atom_site_fract_y
_atom_site_fract_z
Si1 0.000 0.000 0.000
As1 0.000 0.500 0.500
As2 0.500 0.000 0.500
Rh1 0.500 0.500 0.000
# ΔE_f (raw) = 0.931 eV per formula unit
# SG = No. 123
# Magnetization = 0.00 Bohr magnetons per cell
# Volume = 63.7 Å³/cell

# SiAsRh3 (GGA-PBEsol, relaxed)
data_SiAsRh3
_chemical_formula_sum 'Si1 As1 Rh3'
_cell_length_a 4.472
_cell_length_b 4.472
_cell_length_c 4.472
_cell_angle_alpha 90.00
_cell_angle_beta 90.00
_cell_angle_gamma 90.00
_symmetry_space_group_name_H-M 'P 1'
_symmetry_Int_Tables_number 1
_symmetry_space_group_name_Hall 'P 1'
loop_
_atom_site_label
_atom_site_fract_x
_atom_site_fract_y
_atom_site_fract_z
Si1 0.000 0.000 0.000
As1 0.500 0.500 0.500
Rh1 0.000 0.500 0.500
Rh2 0.500 0.000 0.500
Rh3 0.500 0.500 0.000
# ΔE_f (raw) = 3.574 eV per formula unit
# SG = No. 221
# Magnetization = 0.01 Bohr magnetons per cell
# Volume = 89.4 Å³/cell

# Si2As2Rh (GGA-PBEsol, relaxed)
data_Si2As2Rh
_chemical_formula_sum 'Si4 As4 Rh2'
_cell_length_a 6.314
_cell_length_b 6.314
_cell_length_c 4.015
_cell_angle_alpha 90.00
_cell_angle_beta 90.00
_cell_angle_gamma 90.00
_symmetry_space_group_name_H-M 'P 1'
_symmetry_Int_Tables_number 1
_symmetry_space_group_name_Hall 'P 1'
loop_
_atom_site_label
_atom_site_fract_x
_atom_site_fract_y
_atom_site_fract_z
Si1 0.134 0.366 0.000
Si2 0.366 0.866 0.000
Si3 0.634 0.134 0.000
Si4 0.866 0.634 0.000
As1 0.201 0.701 0.500
As2 0.299 0.201 0.500
As3 0.701 0.799 0.500
As4 0.799 0.299 0.500
Rh1 0.000 0.000 0.000
Rh2 0.500 0.500 0.000
# ΔE_f (raw) = 0.376 eV per formula unit
# SG = No. 127
# Magnetization = 0.00 Bohr magnetons per cell
# Volume = 160.1 Å³/cell

# SnAsRh3 (GGA-PBEsol, relaxed)
data_SnAsRh3
_chemical_formula_sum 'Sn1 As1 Rh3'
_cell_length_a 4.753
_cell_length_b 4.753
_cell_length_c 4.753
_cell_angle_alpha 90.00
_cell_angle_beta 90.00
_cell_angle_gamma 90.00
_symmetry_space_group_name_H-M 'P 1'
_symmetry_Int_Tables_number 1
_symmetry_space_group_name_Hall 'P 1'
loop_
_atom_site_label
_atom_site_fract_x
_atom_site_fract_y
_atom_site_fract_z
Sn1 0.000 0.000 0.000
As1 0.500 0.500 0.500
Rh1 0.000 0.000 0.500
Rh2 0.000 0.500 0.000
Rh3 0.500 0.000 0.000
# SG = No. 221
# Formation energy from the elements = 1.3200 eV per atom
# Magnetization = 0.92 Bohr magnetons per cell
# Volume = 107.4 Å³/cell

# SrAs4Rh6 (GGA-PBEsol, relaxed)
data_SrAs4Rh6
_chemical_formula_sum 'Sr1 As4 Rh6'
_cell_length_a 7.190
_cell_length_b 7.190
_cell_length_c 3.816
_cell_angle_alpha 90.00
_cell_angle_beta 90.00
_cell_angle_gamma 120.00
_symmetry_space_group_name_H-M 'P 1'
_symmetry_Int_Tables_number 1
_symmetry_space_group_name_Hall 'P 1'
loop_
_atom_site_label
_atom_site_fract_x
_atom_site_fract_y
_atom_site_fract_z
Sr1 0.000 0.000 0.000
As1 0.191 0.382 0.500
As2 0.191 0.809 0.500
As3 0.618 0.809 0.500
As4 0.667 0.333 0.000
Rh1 0.070 0.535 0.000
Rh2 0.405 0.202 0.500
Rh3 0.465 0.535 0.000
Rh4 0.465 0.930 0.000
Rh5 0.798 0.202 0.500
Rh6 0.798 0.595 0.500
# SG = No. 187
# Formation energy from the elements = -0.6529 eV per atom
# Magnetization = 0.00 Bohr magnetons per cell
# Volume = 170.8 Å³/cell

# SrAsRh2 (GGA-PBEsol, relaxed)
data_SrAsRh2
_chemical_formula_sum 'Sr1 As1 Rh2'
_cell_length_a 4.060
_cell_length_b 4.060
_cell_length_c 5.037
_cell_angle_alpha 90.00
_cell_angle_beta 90.00
_cell_angle_gamma 90.00
_symmetry_space_group_name_H-M 'P 1'
_symmetry_Int_Tables_number 1
_symmetry_space_group_name_Hall 'P 1'
loop_
_atom_site_label
_atom_site_fract_x
_atom_site_fract_y
_atom_site_fract_z
Sr1 0.000 0.000 0.000
As1 0.500 0.500 0.288
Rh1 0.000 0.500 0.523
Rh2 0.500 0.000 0.523
# SG = No. 99
# Formation energy from the elements = -0.4283 eV per atom
# Magnetization = 0.00 Bohr magnetons per cell
# Volume = 83.0 Å³/cell

# SrAs2Rh (GGA-PBEsol, relaxed)
data_SrAs2Rh
_chemical_formula_sum 'Sr4 As8 Rh4'
_cell_length_a 6.789
_cell_length_b 6.789
_cell_length_c 6.789
_cell_angle_alpha 90.00
_cell_angle_beta 90.00
_cell_angle_gamma 90.00
_symmetry_space_group_name_H-M 'P 1'
_symmetry_Int_Tables_number 1
_symmetry_space_group_name_Hall 'P 1'
loop_
_atom_site_label
_atom_site_fract_x
_atom_site_fract_y
_atom_site_fract_z
Sr1 0.000 0.000 0.000
Sr2 0.000 0.500 0.500
Sr3 0.500 0.000 0.500
Sr4 0.500 0.500 0.000
As1 0.000 0.000 0.500
As2 0.000 0.500 0.000
As3 0.250 0.250 0.750
As4 0.250 0.750 0.250
As5 0.500 0.000 0.000
As6 0.500 0.500 0.500
As7 0.750 0.250 0.250
As8 0.750 0.750 0.750
Rh1 0.250 0.250 0.250
Rh2 0.250 0.750 0.750
Rh3 0.750 0.250 0.750
Rh4 0.750 0.750 0.250
# SG = No. 216
# Formation energy from the elements = -0.0198 eV per atom
# Magnetization = 0.00 Bohr magnetons per cell
# Volume = 312.9 Å³/cell

DOS(E_F) for the records above, in order: 7.03; 2.03; 6.54; 7.89; 5.14; 1.92; 9.09; 3.09; 7.43; 5.44; 2.56; 11.63 states/eV per cell